# 1
Density functional theory data (GGA-PBE) for a geometry-optimized La3B9C2 structure.

Lattice parameters (Å, degrees): 7.6799 7.6799 7.6799 156.37 97.05 87.77
With the nearest neighbours (Å) after each atom.
Fractional coordinates of all 14 atoms:
La (0.0000, 0.0000, 0.0000)  4 C 2.78, 8 B 3.06
La (0.3205, 0.3205, 0.0000)  4 B 2.53-2.74
La (0.6795, 0.6795, 0.0000)  4 B 2.53-2.74
B (0.0290, 0.7856, 0.2433)  5 B 1.75-1.84
B (0.0818, 0.3675, 0.7143)  1 C 1.47
B (0.3467, 0.6325, 0.7143)  1 C 1.47
B (0.4577, 0.2144, 0.2433)  5 B 1.75-1.84
B (0.5000, 0.0000, 0.5000)  4 La 2.53
B (0.5423, 0.7856, 0.7567)  5 B 1.75-1.84
B (0.6533, 0.3675, 0.2857)  1 C 1.47
B (0.9182, 0.6325, 0.2857)  1 C 1.47
B (0.9710, 0.2144, 0.7567)  5 B 1.75-1.84
C (0.2257, 0.5000, 0.7257)  2 B 1.47
C (0.7743, 0.5000, 0.2743)  2 B 1.47

Computed properties:
Space-group type = Immm (71)
Calculated volume = 12.65 A^3/atom
DFT formation energy = 0.315 eV per atom


# 2
Density functional theory data (GGA-PBE) for a geometry-optimized TaOsW3 structure.

Lattice parameters (Å, degrees): 4.7048 4.7048 4.7048 90.00 90.00 90.00
With the nearest neighbours (Å) after each atom.
Fractional coordinates of all 5 atoms:
Ta (0.0000, 0.0000, 0.0000)  12 W 3.33
Os (0.5000, 0.5000, 0.5000)  6 W 2.35
W (0.0000, 0.5000, 0.5000)  2 Os 2.35
W (0.5000, 0.0000, 0.5000)  2 Os 2.35
W (0.5000, 0.5000, 0.0000)  2 Os 2.35

Computed properties:
Space-group type = Pm-3m (221)
Calculated volume = 20.83 A^3/atom
Energy relative to the lowest polymorph listed for this composition = 0 meV/atom
DFT formation energy = 1.904 eV per atom


# 3
Density functional theory data (GGA-PBE) for a geometry-optimized Rb2ScI structure.

Lattice parameters (Å, degrees): 6.6672 6.6672 6.6672 60.00 60.00 60.00
With the nearest neighbours (Å) after each atom.
Fractional coordinates of all 4 atoms:
Rb (0.2500, 0.2500, 0.2500)  4 I 4.08, 4 Sc 4.08
Rb (0.7500, 0.7500, 0.7500)  4 Sc 4.08, 4 I 4.08
Sc (0.0000, 0.0000, 0.0000)  8 Rb 4.08
I (0.5000, 0.5000, 0.5000)  8 Rb 4.08

Computed properties:
Space-group type = Fm-3m (225)
ΔE_f (raw) = 0.161 eV/atom
Calculated volume = 52.39 A^3/atom
Energy relative to the lowest polymorph listed for this composition = 40 meV/atom


# 4
Density functional theory data (GGA-PBE) for a geometry-optimized BaNbBr2 structure.

Lattice parameters (Å, degrees): 10.3274 10.3274 10.3274 20.97 20.97 20.97
With the nearest neighbours (Å) after each atom.
Fractional coordinates of all 4 atoms:
Ba (0.0000, 0.0000, 0.0000)  6 Br 3.26
Nb (0.5000, 0.5000, 0.5000)  2 Br 2.62
Br (0.4136, 0.4136, 0.4136)  1 Nb 2.62
Br (0.5864, 0.5864, 0.5864)  1 Nb 2.62

Computed properties:
Space-group type = R-3m (166)
ΔE_f (raw) = -0.242 eV/atom
Calculated volume = 30.89 A^3/atom
Energy relative to the lowest polymorph listed for this composition = 47 meV/atom


# 5
Density functional theory data (GGA-PBE) for a geometry-optimized Sm2ScPaAs4 structure.

Lattice parameters (Å, degrees): 7.0579 4.1152 7.1400 90.00 109.46 90.00
With the nearest neighbours (Å) after each atom.
Fractional coordinates of all 8 atoms:
Sm (0.0000, 0.0000, 0.0000)  6 As 2.94-2.95
Sm (0.5000, 0.5000, 0.0000)  6 As 2.98-2.99
Sc (0.0000, 0.5000, 0.5000)  6 As 2.82
Pa (0.5000, 0.0000, 0.5000)  6 As 2.85-2.87
As (0.2404, 0.0000, 0.7318)  2 Sc 2.82, 1 Pa 2.85, 3 Sm 2.95-2.99
As (0.2491, 0.5000, 0.2633)  1 Sc 2.82, 2 Pa 2.87, 3 Sm 2.94-2.98
As (0.7509, 0.5000, 0.7367)  1 Sc 2.82, 2 Pa 2.87, 3 Sm 2.94-2.98
As (0.7596, 0.0000, 0.2682)  2 Sc 2.82, 1 Pa 2.85, 3 Sm 2.95-2.99

Computed properties:
Space-group type = P2/m (10)
Calculated volume = 24.44 A^3/atom
DFT formation energy = -1.364 eV per atom


# 6
Density functional theory data (GGA-PBE) for a geometry-optimized MnRe3Pd structure.

Lattice parameters (Å, degrees): 4.3961 4.3961 4.3961 90.00 90.00 90.00
With the nearest neighbours (Å) after each atom.
Fractional coordinates of all 5 atoms:
Mn (0.0000, 0.0000, 0.0000)  6 Re 2.20
Re (0.0000, 0.0000, 0.5000)  2 Mn 2.20
Re (0.0000, 0.5000, 0.0000)  2 Mn 2.20
Re (0.5000, 0.0000, 0.0000)  2 Mn 2.20
Pd (0.5000, 0.5000, 0.5000)  12 Re 3.11

Computed properties:
Space-group type = Pm-3m (221)
Calculated volume = 16.99 A^3/atom
Energy relative to the lowest polymorph listed for this composition = 0 meV/atom
DFT formation energy = 1.453 eV per atom